1.
ZnIn2AsP (GGA-PBEsol, relaxed); space group = P4/mmm, No. 123; DFT total energy = -3.022 eV/atom; energy relative to the elements = 3.336 eV per formula unit
1.0
4.6880 0.0000 0.0000
0.0000 5.0365 0.0000
0.0000 0.0000 5.0365
In P As Zn
2 1 1 1
Cartesian
0.0000 2.5182 0.0000
0.0000 0.0000 2.5182
2.3440 2.5182 2.5182
2.3440 0.0000 0.0000
0.0000 0.0000 0.0000


2.
ZrCdHg2 (GGA-PBEsol, relaxed); space group = R-3m, No. 166; DFT total energy = -2.928 eV/atom; energy relative to the elements = -0.293 eV per formula unit
1.0
3.1537 0.0000 0.0000
1.5768 2.7312 0.0000
1.5768 0.9104 9.7860
Hg Cd Zr
2 1 1
Cartesian
4.7305 2.7312 7.3342
1.5769 0.9104 2.4518
0.0000 0.0000 0.0000
3.1537 1.8208 4.8930


3.
ZrP2OsCl (GGA-PBEsol, relaxed); E_form (uncorrected) = 0.47 eV per atom; space group = P4/mmm, No. 123; DFT total energy = -6.511 eV/atom
1.0
-1.9164 -0.3434 4.0907
-1.2691 -4.2438 -0.9508
4.0381 -1.6013 1.7573
Os Cl P Zr
1 1 2 1
Cartesian
0.0000 0.0000 0.0000
2.0191 -0.8007 0.8787
-0.6345 -2.1219 -0.4754
-0.9582 -0.1717 2.0454
0.4263 -3.0943 2.4486